Record 1
Material: CdHgBAu
Method: DFT, PBE-GGA
State: relaxed

a = 4.7049 Å, b = 4.7049 Å, c = 4.7049 Å
α = 60.00°, β = 60.00°, γ = 60.00°
Last column: nearest neighbours and their distance in Å.
Fractional coordinates of all 4 atoms:
Hg (0.5000, 0.5000, 0.5000)  4 B 2.88, 4 Au 2.88
B (0.2500, 0.2500, 0.2500)  4 Hg 2.88, 4 Cd 2.88
Au (0.7500, 0.7500, 0.7500)  4 Cd 2.88, 4 Hg 2.88
Cd (0.0000, 0.0000, 0.0000)  4 Au 2.88, 4 B 2.88

Properties
Excess energy over the best structure of this formula in the dataset   0.000 eV per atom
Space-group type   No. 216

Record 2
Material: MgCdBAu
Method: DFT, PBE-GGA
State: relaxed

a = 4.5690 Å, b = 4.5690 Å, c = 4.5690 Å
α = 60.00°, β = 60.00°, γ = 60.00°
Last column: nearest neighbours and their distance in Å.
Fractional coordinates of all 4 atoms:
Au (0.7500, 0.7500, 0.7500)  4 Cd 2.80, 4 Mg 2.80
Mg (0.5000, 0.5000, 0.5000)  4 B 2.80, 4 Au 2.80
B (0.2500, 0.2500, 0.2500)  4 Mg 2.80, 4 Cd 2.80
Cd (0.0000, 0.0000, 0.0000)  4 Au 2.80, 4 B 2.80

Properties
Excess energy over the best structure of this formula in the dataset   0.000 eV per atom
Space-group type   No. 216

Record 3
Material: CoBAu
Method: DFT, PBE-GGA
State: relaxed

a = 3.8612 Å, b = 3.8612 Å, c = 3.8612 Å
α = 60.00°, β = 60.00°, γ = 60.00°
Last column: nearest neighbours and their distance in Å.
Fractional coordinates of all 3 atoms:
Co (0.0000, 0.0000, 0.0000)  4 B 2.36, 4 Au 2.36
Au (0.2500, 0.2500, 0.2500)  4 Co 2.36
B (0.7500, 0.7500, 0.7500)  4 Co 2.36

Properties
Energy   -14.063 eV/cell
Space-group type   No. 216

Record 4
Material: CoB4Au
Method: DFT, PBE-GGA
State: relaxed

a = 4.7007 Å, b = 4.7007 Å, c = 4.7007 Å
α = 142.25°, β = 113.99°, γ = 78.62°
Last column: nearest neighbours and their distance in Å.
Fractional coordinates of all 6 atoms:
B (0.4395, 0.7672, 0.6723)  3 B 1.73-1.76
B (0.5605, 0.2328, 0.3277)  3 B 1.73-1.76
B (0.9051, 0.2328, 0.6723)  3 B 1.73-1.76
B (0.0949, 0.7672, 0.3277)  3 B 1.73-1.76
Co (0.5000, 0.5000, 0.0000)  12 B 2.44-2.57
Au (0.0000, 0.0000, 0.0000)  12 B 2.38-2.62

Properties
Excess energy over the best structure of this formula in the dataset   0.154 eV per atom
Space-group type   No. 71

Record 5
Material: CoB4Au
Method: DFT, PBE-GGA
State: relaxed

a = 2.9760 Å, b = 2.9760 Å, c = 7.4956 Å
α = 90.00°, β = 90.00°, γ = 120.00°
Last column: nearest neighbours and their distance in Å.
Fractional coordinates of all 6 atoms:
B (0.6667, 0.3333, 0.8125)  3 B 1.72
B (0.3333, 0.6667, 0.1875)  3 B 1.72
B (0.6667, 0.3333, 0.1875)  3 B 1.72
B (0.3333, 0.6667, 0.8125)  3 B 1.72
Au (0.0000, 0.0000, 0.5000)  12 B 2.90, 6 Au 2.98
Co (0.0000, 0.0000, 0.0000)  12 B 2.22

Properties
Excess energy over the best structure of this formula in the dataset   0.000 eV per atom
Space-group type   No. 191

Record 6
Material: Co2BAu
Method: DFT, PBE-GGA
State: relaxed

a = 4.0111 Å, b = 4.0111 Å, c = 4.0111 Å
α = 60.00°, β = 60.00°, γ = 60.00°
Last column: nearest neighbours and their distance in Å.
Fractional coordinates of all 4 atoms:
B (0.5000, 0.5000, 0.5000)  4 Co 2.46, 4 Au 2.46
Co (0.0000, 0.0000, 0.0000)  4 Co 2.46, 4 Au 2.46
Co (0.7500, 0.7500, 0.7500)  4 B 2.46, 4 Co 2.46
Au (0.2500, 0.2500, 0.2500)  4 B 2.46, 4 Co 2.46

Properties
Energy   -21.402 eV/cell
Space-group type   No. 216